Entry one
# RbCaSe2Br, optimized geometry, DFT GGA-PBE
# Volume, Å³ per atom: 38.6
data_RbCaSe2Br
_chemical_formula_sum 'Rb1 Ca1 Se2 Br1'
_cell_length_a 5.672
_cell_length_b 5.672
_cell_length_c 6.003
_cell_angle_alpha 90.00
_cell_angle_beta 90.00
_cell_angle_gamma 90.00
_space_group_name_H-M_alt 'P 4/m m m'
_space_group_IT_number 123
_space_group_name_Hall '-P 4 2'
loop_
_atom_site_label
_atom_site_fract_x
_atom_site_fract_y
_atom_site_fract_z
Rb1 0.000 0.000 0.000
Ca1 0.500 0.500 0.500
Se1 0.000 0.500 0.000
Br1 0.000 0.000 0.500

Entry two
# RbCaSe2Br, optimized geometry, DFT GGA-PBE
# Volume, Å³ per atom: 37.3
data_RbCaSe2Br
_chemical_formula_sum 'Rb1 Ca1 Se2 Br1'
_cell_length_a 5.651
_cell_length_b 5.651
_cell_length_c 5.833
_cell_angle_alpha 90.00
_cell_angle_beta 90.00
_cell_angle_gamma 90.00
_space_group_name_H-M_alt 'P 4/m m m'
_space_group_IT_number 123
_space_group_name_Hall '-P 4 2'
loop_
_atom_site_label
_atom_site_fract_x
_atom_site_fract_y
_atom_site_fract_z
Rb1 0.000 0.000 0.000
Ca1 0.500 0.500 0.500
Se1 0.000 0.500 0.500
Br1 0.500 0.500 0.000

Taking the most stable structure as the zero point, the relative energies in meV/atom are entry one 859; entry two 0.

Entry one
# Rb2CaSnBr6, optimized geometry, DFT GGA-PBE
# Volume, Å³ per atom: 39.4
data_Rb2CaSnBr6
_chemical_formula_sum 'Rb8 Ca4 Sn4 Br24'
_cell_length_a 11.636
_cell_length_b 11.636
_cell_length_c 11.636
_cell_angle_alpha 90.00
_cell_angle_beta 90.00
_cell_angle_gamma 90.00
_space_group_name_H-M_alt 'F m -3 m'
_space_group_IT_number 225
_space_group_name_Hall '-F 4 2 3'
loop_
_atom_site_label
_atom_site_fract_x
_atom_site_fract_y
_atom_site_fract_z
Rb1 0.250 0.250 0.250
Ca1 0.000 0.000 0.000
Sn1 0.000 0.000 0.500
Br1 0.000 0.000 0.247

Entry two
# Rb2CaSnBr6, optimized geometry, DFT GGA-PBE
# Volume, Å³ per atom: 37.4
data_Rb2CaSnBr6
_chemical_formula_sum 'Rb4 Ca2 Sn2 Br12'
_cell_length_a 7.936
_cell_length_b 8.260
_cell_length_c 13.887
_cell_angle_alpha 90.00
_cell_angle_beta 124.80
_cell_angle_gamma 90.00
_space_group_name_H-M_alt 'P 1 21/c 1'
_space_group_IT_number 14
loop_
_space_group_symop_operation_xyz
'x,y,z'
'-x,-y,-z'
'-x,y+1/2,-z+1/2'
'x,-y+1/2,z+1/2'
loop_
_atom_site_label
_atom_site_fract_x
_atom_site_fract_y
_atom_site_fract_z
Rb1 0.228 0.068 0.250
Ca1 0.500 0.000 0.000
Sn1 0.000 0.000 0.500
Br1 0.156 0.199 0.953
Br2 0.256 0.706 0.952
Br3 0.347 0.022 0.754

Taking the most stable structure as the zero point, the relative energies in meV/atom are entry one 34; entry two 0.

Entry one
# CaReBr, optimized geometry, DFT GGA-PBE
# Volume, Å³ per atom: 20.2
data_CaReBr
_chemical_formula_sum 'Ca1 Re1 Br1'
_cell_length_a 4.7577
_cell_length_b 4.7577
_cell_length_c 3.0933
_cell_angle_alpha 90.00
_cell_angle_beta 90.00
_cell_angle_gamma 120.00
_space_group_name_H-M_alt 'P -6 m 2'
_space_group_IT_number 187
_space_group_name_Hall 'P -6 2'
loop_
_atom_site_label
_atom_site_fract_x
_atom_site_fract_y
_atom_site_fract_z
Ca1 0.0000 0.0000 0.0000
Re1 0.6667 0.3333 0.5000
Br1 0.3333 0.6667 0.5000

Entry two
# CaReBr, optimized geometry, DFT GGA-PBE
# Volume, Å³ per atom: 32.0
data_CaReBr
_chemical_formula_sum 'Ca4 Re4 Br4'
_cell_length_a 7.270
_cell_length_b 7.270
_cell_length_c 7.270
_cell_angle_alpha 90.00
_cell_angle_beta 90.00
_cell_angle_gamma 90.00
_space_group_name_H-M_alt 'F -4 3 m'
_space_group_IT_number 216
_space_group_name_Hall 'F -4 2 3'
loop_
_atom_site_label
_atom_site_fract_x
_atom_site_fract_y
_atom_site_fract_z
Ca1 0.000 0.000 0.000
Re1 0.250 0.250 0.250
Br1 0.250 0.250 0.750

Entry three
# CaReBr, optimized geometry, DFT GGA-PBE
# Volume, Å³ per atom: 21.9
data_CaReBr
_chemical_formula_sum 'Ca4 Re4 Br4'
_cell_length_a 4.168
_cell_length_b 4.513
_cell_length_c 13.949
_cell_angle_alpha 90.00
_cell_angle_beta 90.00
_cell_angle_gamma 90.00
_space_group_name_H-M_alt 'F m m 2'
_space_group_IT_number 42
_space_group_name_Hall 'F 2 -2'
loop_
_atom_site_label
_atom_site_fract_x
_atom_site_fract_y
_atom_site_fract_z
Ca1 0.000 0.000 0.000
Re1 0.000 0.000 0.335
Br1 0.000 0.000 0.643

Taking the most stable structure as the zero point, the relative energies in meV/atom are entry one 42; entry two 571; entry three 0.

Entry one
# CaReBr, optimized geometry, DFT GGA-PBE
# Volume, Å³ per atom: 22.3
data_CaReBr
_chemical_formula_sum 'Ca1 Re1 Br1'
_cell_length_a 3.3398
_cell_length_b 3.3398
_cell_length_c 6.9230
_cell_angle_alpha 90.00
_cell_angle_beta 90.00
_cell_angle_gamma 120.00
_space_group_name_H-M_alt 'P 3 m 1'
_space_group_IT_number 156
loop_
_space_group_symop_operation_xyz
'x,y,z'
'-y,x-y,z'
'-x+y,-x,z'
'-y,-x,z'
'-x+y,y,z'
'x,x-y,z'
loop_
_atom_site_label
_atom_site_fract_x
_atom_site_fract_y
_atom_site_fract_z
Ca1 0.0000 0.0000 0.0000
Re1 0.6667 0.3333 0.3343
Br1 0.3333 0.6667 0.6774

Entry two
# CaReBr, optimized geometry, DFT GGA-PBE
# Volume, Å³ per atom: 23.2
data_CaReBr
_chemical_formula_sum 'Ca4 Re4 Br4'
_cell_length_a 6.532
_cell_length_b 6.532
_cell_length_c 6.532
_cell_angle_alpha 90.00
_cell_angle_beta 90.00
_cell_angle_gamma 90.00
_space_group_name_H-M_alt 'F -4 3 m'
_space_group_IT_number 216
_space_group_name_Hall 'F -4 2 3'
loop_
_atom_site_label
_atom_site_fract_x
_atom_site_fract_y
_atom_site_fract_z
Ca1 0.000 0.000 0.000
Re1 0.000 0.000 0.500
Br1 0.250 0.250 0.750

Taking the most stable structure as the zero point, the relative energies in meV/atom are entry one 0; entry two 470.

Entry one
# CaRe3Br, optimized geometry, DFT GGA-PBE
# Volume, Å³ per atom: 22.4
data_CaRe3Br
_chemical_formula_sum 'Ca1 Re3 Br1'
_cell_length_a 4.818
_cell_length_b 4.818
_cell_length_c 4.818
_cell_angle_alpha 90.00
_cell_angle_beta 90.00
_cell_angle_gamma 90.00
_space_group_name_H-M_alt 'P m -3 m'
_space_group_IT_number 221
_space_group_name_Hall '-P 4 2 3'
loop_
_atom_site_label
_atom_site_fract_x
_atom_site_fract_y
_atom_site_fract_z
Ca1 0.000 0.000 0.000
Re1 0.000 0.000 0.500
Br1 0.500 0.500 0.500

Entry two
# CaRe3Br, optimized geometry, DFT GGA-PBE
# Volume, Å³ per atom: 20.2
data_CaRe3Br
_chemical_formula_sum 'Ca1 Re3 Br1'
_cell_length_a 4.656
_cell_length_b 4.656
_cell_length_c 4.656
_cell_angle_alpha 90.00
_cell_angle_beta 90.00
_cell_angle_gamma 90.00
_space_group_name_H-M_alt 'P m -3 m'
_space_group_IT_number 221
_space_group_name_Hall '-P 4 2 3'
loop_
_atom_site_label
_atom_site_fract_x
_atom_site_fract_y
_atom_site_fract_z
Ca1 0.000 0.000 0.000
Re1 0.000 0.500 0.500
Br1 0.500 0.500 0.500

Taking the most stable structure as the zero point, the relative energies in meV/atom are entry one 1722; entry two 0.

Entry one
# CaRhSeBr2, optimized geometry, DFT GGA-PBE
# Volume, Å³ per atom: 25.7
data_CaRhSeBr2
_chemical_formula_sum 'Ca1 Rh1 Se1 Br2'
_cell_length_a 5.011
_cell_length_b 5.011
_cell_length_c 5.112
_cell_angle_alpha 90.00
_cell_angle_beta 90.00
_cell_angle_gamma 90.00
_space_group_name_H-M_alt 'P 4/m m m'
_space_group_IT_number 123
_space_group_name_Hall '-P 4 2'
loop_
_atom_site_label
_atom_site_fract_x
_atom_site_fract_y
_atom_site_fract_z
Ca1 0.000 0.000 0.000
Rh1 0.500 0.500 0.500
Se1 0.500 0.500 0.000
Br1 0.000 0.500 0.500

Entry two
# CaRhSeBr2, optimized geometry, DFT GGA-PBE
# Volume, Å³ per atom: 34.1
data_CaRhSeBr2
_chemical_formula_sum 'Ca1 Rh1 Se1 Br2'
_cell_length_a 5.469
_cell_length_b 5.469
_cell_length_c 5.705
_cell_angle_alpha 90.00
_cell_angle_beta 90.00
_cell_angle_gamma 90.00
_space_group_name_H-M_alt 'P 4/m m m'
_space_group_IT_number 123
_space_group_name_Hall '-P 4 2'
loop_
_atom_site_label
_atom_site_fract_x
_atom_site_fract_y
_atom_site_fract_z
Ca1 0.000 0.000 0.000
Rh1 0.500 0.500 0.500
Se1 0.000 0.000 0.500
Br1 0.000 0.500 0.000

Taking the most stable structure as the zero point, the relative energies in meV/atom are entry one 0; entry two 718.